# 1
VASP calculation (PBE-GGA) on a relaxed HfSi2MoOs crystal.

Results
Total energy (eV/cell): -33.13
Raw formation energy (meV/atom): 1947

Structure (CIF):
```
data_HfSi2MoOs
_space_group_name_H-M_alt 'P 1'
_space_group_IT_number 1
_space_group_name_Hall 'P 1'
_cell_length_a 4.782
_cell_length_b 4.744
_cell_length_c 4.782
_cell_angle_alpha 90.00
_cell_angle_beta 90.00
_cell_angle_gamma 90.00
loop_
_atom_site_label
_atom_site_type_symbol
_atom_site_fract_x
_atom_site_fract_y
_atom_site_fract_z
Hf1 Hf 0.000 0.000 0.000
Si1 Si 0.000 0.000 0.500
Mo1 Mo 0.500 0.500 0.500
Os1 Os 0.000 0.500 0.000
Si2 Si 0.500 0.000 0.000
```

---

# 2
VASP calculation (PBE-GGA) on a relaxed CeHo2I crystal.

Results
Total energy (eV/cell): -17.86
Raw formation energy (meV/atom): -306

Structure (CIF):
```
data_CeHo2I
_space_group_name_H-M_alt 'P 1'
_space_group_IT_number 1
_space_group_name_Hall 'P 1'
_cell_length_a 3.699
_cell_length_b 3.699
_cell_length_c 10.649
_cell_angle_alpha 80.00
_cell_angle_beta 80.00
_cell_angle_gamma 60.00
loop_
_atom_site_label
_atom_site_type_symbol
_atom_site_fract_x
_atom_site_fract_y
_atom_site_fract_z
I1 I 0.000 0.000 0.000
Ho1 Ho 0.254 0.254 0.237
Ce1 Ce 0.500 0.500 0.500
Ho2 Ho 0.746 0.746 0.763
```

---

# 3
VASP calculation (PBE-GGA) on a relaxed K3In4Au2 crystal.

Results
Total energy (eV/cell): -22.65
Energy above the lowest structure with this stoichiometry (kJ/mol of formula units): 0
Formation enthalpy at 0 K (meV per atom): -206

Structure (CIF):
```
data_K3In4Au2
_space_group_name_H-M_alt 'P 1'
_space_group_IT_number 1
_space_group_name_Hall 'P 1'
_cell_length_a 4.863
_cell_length_b 6.972
_cell_length_c 10.038
_cell_angle_alpha 69.67
_cell_angle_beta 76.26
_cell_angle_gamma 69.45
loop_
_atom_site_label
_atom_site_type_symbol
_atom_site_fract_x
_atom_site_fract_y
_atom_site_fract_z
In1 In 0.286 0.353 0.074
In2 In 0.714 0.647 0.926
K1 K 0.381 0.862 0.372
Au1 Au 0.685 0.403 0.228
In3 In 0.096 0.447 0.363
K2 K 0.000 0.000 0.000
Au2 Au 0.315 0.597 0.772
In4 In 0.904 0.553 0.637
K3 K 0.619 0.138 0.628
```

---

# 4
VASP calculation (PBE-GGA) on a relaxed Tm2Ni9Pd crystal.

Results
Total energy (eV/cell): -68.94
Formation enthalpy at 0 K (meV per atom): -231

Structure (CIF):
```
data_Tm2Ni9Pd
_space_group_name_H-M_alt 'P 1'
_space_group_IT_number 1
_space_group_name_Hall 'P 1'
_cell_length_a 4.894
_cell_length_b 4.894
_cell_length_c 8.380
_cell_angle_alpha 73.02
_cell_angle_beta 73.02
_cell_angle_gamma 60.00
loop_
_atom_site_label
_atom_site_type_symbol
_atom_site_fract_x
_atom_site_fract_y
_atom_site_fract_z
Ni1 Ni 0.583 0.583 0.753
Ni2 Ni 0.333 0.333 0.000
Ni3 Ni 0.500 0.500 0.500
Ni4 Ni 0.920 0.417 0.247
Tm1 Tm 0.867 0.867 0.400
Pd1 Pd 0.000 0.000 0.000
Ni5 Ni 0.080 0.583 0.753
Ni6 Ni 0.417 0.417 0.247
Ni7 Ni 0.417 0.920 0.247
Ni8 Ni 0.583 0.080 0.753
Tm2 Tm 0.133 0.133 0.600
Ni9 Ni 0.667 0.667 0.000
```

---

# 5
VASP calculation (PBE-GGA) on a relaxed Ba2Cd2Ni crystal.

Results
Total energy (eV/cell): -22.18
Formation enthalpy at 0 K (meV per atom): 73

Structure (CIF):
```
data_Ba2Cd2Ni
_space_group_name_H-M_alt 'P 1'
_space_group_IT_number 1
_space_group_name_Hall 'P 1'
_cell_length_a 7.602
_cell_length_b 7.602
_cell_length_c 5.481
_cell_angle_alpha 90.00
_cell_angle_beta 90.00
_cell_angle_gamma 90.00
loop_
_atom_site_label
_atom_site_type_symbol
_atom_site_fract_x
_atom_site_fract_y
_atom_site_fract_z
Ba1 Ba 0.821 0.321 0.500
Ba2 Ba 0.179 0.679 0.500
Cd1 Cd 0.140 0.360 0.000
Ba3 Ba 0.679 0.821 0.500
Ba4 Ba 0.321 0.179 0.500
Cd2 Cd 0.360 0.860 0.000
Ni1 Ni 0.000 0.000 0.000
Cd3 Cd 0.640 0.140 0.000
Ni2 Ni 0.500 0.500 0.000
Cd4 Cd 0.860 0.640 0.000
```

---

# 6
VASP calculation (PBE-GGA) on a relaxed BaNa2LiZn crystal.

Results
Total energy (eV/cell): -7.24
Energy above the lowest structure with this stoichiometry (kJ/mol of formula units): 7
Formation enthalpy at 0 K (meV per atom): 102

Structure (CIF):
```
data_BaNa2LiZn
_space_group_name_H-M_alt 'P 1'
_space_group_IT_number 1
_space_group_name_Hall 'P 1'
_cell_length_a 5.733
_cell_length_b 5.733
_cell_length_c 5.386
_cell_angle_alpha 90.00
_cell_angle_beta 90.00
_cell_angle_gamma 90.00
loop_
_atom_site_label
_atom_site_type_symbol
_atom_site_fract_x
_atom_site_fract_y
_atom_site_fract_z
Li1 Li 0.000 0.000 0.500
Zn1 Zn 0.000 0.000 0.000
Ba1 Ba 0.500 0.500 0.500
Na1 Na 0.000 0.500 0.000
Na2 Na 0.500 0.000 0.000
```

---

# 7
VASP calculation (PBE-GGA) on a relaxed Be6Co crystal.

Results
Total energy (eV/cell): -119.85
Energy above the lowest structure with this stoichiometry (kJ/mol of formula units): 0
Formation enthalpy at 0 K (meV per atom): -71

Structure (CIF):
```
data_Be6Co
_space_group_name_H-M_alt 'P 1'
_space_group_IT_number 1
_space_group_name_Hall 'P 1'
_cell_length_a 4.059
_cell_length_b 6.899
_cell_length_c 8.211
_cell_angle_alpha 90.00
_cell_angle_beta 90.00
_cell_angle_gamma 90.00
loop_
_atom_site_label
_atom_site_type_symbol
_atom_site_fract_x
_atom_site_fract_y
_atom_site_fract_z
Be1 Be 0.250 0.289 0.756
Be2 Be 0.750 0.468 0.428
Be3 Be 0.990 0.543 0.794
Co1 Co 0.750 0.261 0.920
Be4 Be 0.750 0.211 0.256
Be5 Be 0.250 0.789 0.744
Be6 Be 0.750 0.317 0.650
Be7 Be 0.510 0.043 0.706
Be8 Be 0.490 0.457 0.206
Be9 Be 0.750 0.584 0.013
Be10 Be 0.010 0.957 0.294
Be11 Be 0.010 0.457 0.206
Be12 Be 0.250 0.416 0.987
Be13 Be 0.750 0.084 0.487
Be14 Be 0.250 0.032 0.928
Be15 Be 0.250 0.916 0.513
Be16 Be 0.750 0.817 0.850
Be17 Be 0.250 0.683 0.350
Be18 Be 0.250 0.532 0.572
Co2 Co 0.250 0.739 0.080
Be19 Be 0.250 0.183 0.150
Be20 Be 0.510 0.543 0.794
Be21 Be 0.750 0.711 0.244
Co3 Co 0.750 0.761 0.580
Be22 Be 0.750 0.968 0.072
Be23 Be 0.490 0.957 0.294
Be24 Be 0.990 0.043 0.706
Co4 Co 0.250 0.239 0.420
```

---

# 8
VASP calculation (PBE-GGA) on a relaxed Sm3CoTeCl crystal.

Results
Total energy (eV/cell): -63.07
Raw formation energy (meV/atom): -881

Structure (CIF):
```
data_Sm3CoTeCl
_space_group_name_H-M_alt 'P 1'
_space_group_IT_number 1
_space_group_name_Hall 'P 1'
_cell_length_a 4.088
_cell_length_b 8.850
_cell_length_c 9.977
_cell_angle_alpha 94.10
_cell_angle_beta 90.00
_cell_angle_gamma 90.00
loop_
_atom_site_label
_atom_site_type_symbol
_atom_site_fract_x
_atom_site_fract_y
_atom_site_fract_z
Cl1 Cl 0.750 0.860 0.425
Sm1 Sm 0.250 0.159 0.865
Te1 Te 0.250 0.121 0.179
Te2 Te 0.750 0.879 0.821
Co1 Co 0.250 0.619 0.141
Sm2 Sm 0.750 0.841 0.135
Sm3 Sm 0.250 0.651 0.396
Sm4 Sm 0.750 0.349 0.604
Sm5 Sm 0.250 0.603 0.864
Sm6 Sm 0.750 0.397 0.136
Co2 Co 0.750 0.381 0.859
Cl2 Cl 0.250 0.140 0.575
```

---

# 9
VASP calculation (PBE-GGA) on a relaxed SrYBr crystal.

Results
Total energy (eV/cell): -24.14
Raw formation energy (meV/atom): -750
Energy above the lowest structure with this stoichiometry (kJ/mol of formula units): 0

Structure (CIF):
```
data_SrYBr
_space_group_name_H-M_alt 'P 1'
_space_group_IT_number 1
_space_group_name_Hall 'P 1'
_cell_length_a 6.282
_cell_length_b 6.282
_cell_length_c 9.179
_cell_angle_alpha 94.55
_cell_angle_beta 94.55
_cell_angle_gamma 35.62
loop_
_atom_site_label
_atom_site_type_symbol
_atom_site_fract_x
_atom_site_fract_y
_atom_site_fract_z
Br1 Br 0.231 0.231 0.510
Y1 Y 0.003 0.003 0.089
Br2 Br 0.522 0.522 0.798
Sr1 Sr 0.496 0.496 0.445
Y2 Y 0.751 0.751 0.218
Sr2 Sr 0.257 0.257 0.862
```

---

# 10
VASP calculation (PBE-GGA) on a relaxed NbNiPdRu crystal.

Results
Total energy (eV/cell): -30.58
Formation enthalpy at 0 K (meV per atom): -65

Structure (CIF):
```
data_NbNiPdRu
_space_group_name_H-M_alt 'P 1'
_space_group_IT_number 1
_space_group_name_Hall 'P 1'
_cell_length_a 4.372
_cell_length_b 4.372
_cell_length_c 4.372
_cell_angle_alpha 60.00
_cell_angle_beta 60.00
_cell_angle_gamma 60.00
loop_
_atom_site_label
_atom_site_type_symbol
_atom_site_fract_x
_atom_site_fract_y
_atom_site_fract_z
Ru1 Ru 0.250 0.250 0.250
Nb1 Nb 0.500 0.500 0.500
Ni1 Ni 0.000 0.000 0.000
Pd1 Pd 0.750 0.750 0.750
```

---

# 11
VASP calculation (PBE-GGA) on a relaxed TbCe2BeC2 crystal.

Results
Total energy (eV/cell): -78.72
Formation enthalpy at 0 K (meV per atom): -115

Structure (CIF):
```
data_TbCe2BeC2
_space_group_name_H-M_alt 'P 1'
_space_group_IT_number 1
_space_group_name_Hall 'P 1'
_cell_length_a 3.580
_cell_length_b 5.386
_cell_length_c 11.293
_cell_angle_alpha 90.00
_cell_angle_beta 90.00
_cell_angle_gamma 90.00
loop_
_atom_site_label
_atom_site_type_symbol
_atom_site_fract_x
_atom_site_fract_y
_atom_site_fract_z
Be1 Be 0.000 0.000 0.000
Ce1 Ce 0.500 0.002 0.212
Ce2 Ce 0.500 0.998 0.788
Ce3 Ce 0.000 0.498 0.712
C1 C 0.000 0.771 0.894
Ce4 Ce 0.000 0.502 0.288
C2 C 0.500 0.729 0.394
Be2 Be 0.500 0.500 0.500
C3 C 0.000 0.229 0.106
C4 C 0.500 0.271 0.606
Tb1 Tb 0.500 0.500 0.000
Tb2 Tb 0.000 0.000 0.500
```

---

Q: What is the formula in the fifth record?
A: Ba2Cd2Ni

---

Q: Which formula does entry 6 have?
A: BaNa2LiZn